1.
Material: LiY3Ru
Method: DFT, SCAN
State: PBEsol geometry

Cell: 5.3218 5.3218 5.3218 Å, 90.00 90.00 90.00°
Sites, in units of the cell vectors:
Y: 0.0000 0.5000 0.0000
Y: 0.0000 0.0000 0.5000
Y: 0.5000 0.0000 0.0000
Ru: 0.0000 0.0000 0.0000
Li: 0.5000 0.5000 0.5000

Values from the calculation:
Energy relative to the elements = -0.134 eV per atom
SG = Pm-3m, No. 221

---

2.
Material: Li2YRu
Method: DFT, SCAN
State: PBEsol geometry

Cell: 2.7864 2.7864 10.0755 Å, 90.00 90.00 114.76°
Sites, in units of the cell vectors:
Li: 0.0000 0.0000 0.2899
Li: 0.0000 0.0000 0.7101
Ru: 0.5000 0.5000 0.5000
Y: 0.5000 0.5000 0.0000

Values from the calculation:
Energy relative to the elements = 0.539 eV per atom
SG = Cmmm, No. 65

---

3.
Material: LiYRu
Method: DFT, SCAN
State: PBEsol geometry

Cell: 4.2326 4.2326 4.2326 Å, 60.00 60.00 60.00°
Sites, in units of the cell vectors:
Li: 0.2500 0.2500 0.2500
Ru: 0.0000 0.0000 0.0000
Y: 0.5000 0.5000 0.5000

Values from the calculation:
Energy relative to the elements = 0.360 eV per atom
SG = F-43m, No. 216

---

4.
Material: Li2YRu
Method: DFT, SCAN
State: PBEsol geometry

Cell: 3.8988 3.8988 5.2863 Å, 111.64 111.64 90.00°
Sites, in units of the cell vectors:
Li: 0.7500 0.2500 0.5000
Li: 0.2500 0.7500 0.5000
Ru: 0.5000 0.5000 0.0000
Y: 0.0000 0.0000 0.0000

Values from the calculation:
Energy relative to the elements = 0.029 eV per atom
SG = I4/mmm, No. 139